Density functional theory data (PBE) for a relaxed NbCoPt4 crystal.

Cell lengths 4.5631, 5.5085, 7.9936 Å; angles 69.84, 90.00, 89.99 degrees
Sites, in units of the cell vectors:
Pt1 0.7502 0.2897 0.4114
Nb1 0.2500 0.3022 0.8955
Pt2 0.7500 0.0997 0.7955
Co1 0.7500 0.1960 0.1081
Co2 0.2500 0.8040 0.8919
Pt3 0.2498 0.7103 0.5886
Pt4 0.2500 0.9003 0.2045
Pt5 0.2500 0.3952 0.2045
Nb2 0.7500 0.6978 0.1045
Pt6 0.7500 0.6048 0.7955
Pt7 0.2502 0.2011 0.5886
Pt8 0.7498 0.7989 0.4114

Computed properties:
**DOS at the Fermi energy**: 0.6722 states/eV per atom
**Total moment**: 1.7 μB per formula unit
**E above lowest polymorph**: 0 meV per atom
**Energy of formation from the pure elements**: -8.08 kcal/mol of atoms

=====

Density functional theory data (PBE) for a relaxed Nb2Co3Pt2 crystal.

Cell lengths 3.7553, 4.7405, 7.2840 Å; angles 110.56, 104.94, 113.33 degrees
Sites, in units of the cell vectors:
Nb1 0.8375 0.4158 0.2593
Co1 0.4069 0.6957 0.1182
Pt1 0.2689 0.1286 0.4093
Pt2 0.7311 0.8714 0.5907
Co2 0.0000 0.0000 0.0000
Nb2 0.1625 0.5842 0.7407
Co3 0.5931 0.3043 0.8818

Computed properties:
**DOS at the Fermi energy**: 0.9252 states/eV per atom
**Total moment**: 1.8 μB per formula unit
**E above lowest polymorph**: 0 meV per atom
**Energy of formation from the pure elements**: -8.32 kcal/mol of atoms

=====

Density functional theory data (PBE) for a relaxed Nb2Co2Pt crystal.

Cell lengths 6.8839, 6.8839, 3.0463 Å; angles 90.00, 90.00, 90.00 degrees
Sites, in units of the cell vectors:
Co1 0.8705 0.6295 0.0000
Nb1 0.6718 0.8282 0.5000
Nb2 0.1718 0.6718 0.5000
Co2 0.1295 0.3705 0.0000
Co3 0.6295 0.1295 0.0000
Co4 0.3705 0.8705 0.0000
Pt1 0.5000 0.5000 0.0000
Nb3 0.8282 0.3282 0.5000
Pt2 0.0000 0.0000 0.0000
Nb4 0.3282 0.1718 0.5000

Computed properties:
**DOS at the Fermi energy**: 0.5777 states/eV per atom
**Total moment**: 0.0 μB per formula unit
**E above lowest polymorph**: 0 meV per atom
**Energy of formation from the pure elements**: -8.56 kcal/mol of atoms